Record 1
This record from the Alexandria database describes a geometry-optimized MgFe4Au structure. The functional is PBE. Values from VASP.

**Density**: 8.89 g/cm3
**Total DFT energy (no corrections)**: -6.388 eV/atom
**Total magnetic moment**: 1.6284 μB/atom

```
&SYSTEM
  ibrav = 0, nat = 6, ntyp = 3
/
ATOMIC_SPECIES
Mg 24.30 Mg.upf
Fe 55.84 Fe.upf
Au 196.97 Au.upf
ATOMIC_POSITIONS crystal
Mg 0.000 0.000 0.000
Fe 0.374 0.374 0.374
Fe 0.374 0.374 0.878
Fe 0.374 0.878 0.374
Fe 0.878 0.374 0.374
Au 0.750 0.750 0.750
CELL_PARAMETERS angstrom
0.000 3.463 3.463
3.463 0.000 3.463
3.463 3.463 0.000
```


Record 2
This record from the Alexandria database describes a geometry-optimized Ag6Cl3OF2 structure. The functional is PBE. Values from VASP.

**Density**: 6.11 g/cm3
**E_form (uncorrected)**: -5.8 eV per formula unit
**Total magnetic moment**: 0.0000 μB/atom

```
&SYSTEM
  ibrav = 0, nat = 12, ntyp = 4
/
ATOMIC_SPECIES
Ag 107.87 Ag.upf
Cl 35.45 Cl.upf
O 16.00 O.upf
F 19.00 F.upf
ATOMIC_POSITIONS crystal
Ag 0.069 0.383 0.211
Ag 0.237 0.237 0.797
Ag 0.383 0.069 0.211
Ag 0.617 0.931 0.789
Ag 0.763 0.763 0.203
Ag 0.931 0.617 0.789
Cl 0.178 0.822 0.500
Cl 0.500 0.500 0.500
Cl 0.822 0.178 0.500
O 0.000 0.000 0.000
F 0.334 0.666 0.000
F 0.666 0.334 0.000
CELL_PARAMETERS angstrom
3.374 -5.440 0.000
3.374 5.440 0.000
-2.796 0.000 5.978
```


Record 3
This record from the Alexandria database describes a geometry-optimized La4PrY15 structure. The functional is PBE. Values from VASP.

**Density**: 5.03 g/cm3
**Total DFT energy (no corrections)**: -6.043 eV/atom
**Total magnetic moment**: 0.0000 μB/atom

```
&SYSTEM
  ibrav = 0, nat = 20, ntyp = 3
/
ATOMIC_SPECIES
La 138.91 La.upf
Pr 140.91 Pr.upf
Y 88.91 Y.upf
ATOMIC_POSITIONS crystal
La 0.000 0.000 0.100
La 0.000 0.000 0.300
La 0.000 0.000 0.700
La 0.000 0.000 0.900
Pr 0.000 0.000 0.500
Y 0.000 0.500 0.000
Y 0.000 0.500 0.200
Y 0.000 0.500 0.401
Y 0.000 0.500 0.599
Y 0.000 0.500 0.800
Y 0.500 0.000 0.000
Y 0.500 0.000 0.200
Y 0.500 0.000 0.401
Y 0.500 0.000 0.599
Y 0.500 0.000 0.800
Y 0.500 0.500 0.100
Y 0.500 0.500 0.301
Y 0.500 0.500 0.500
Y 0.500 0.500 0.699
Y 0.500 0.500 0.900
CELL_PARAMETERS angstrom
5.131 0.000 0.000
0.000 5.131 0.000
0.000 0.000 25.432
```


Record 4
This record from the Alexandria database describes a geometry-optimized NaTl3Pd structure. The functional is PBE. Values from VASP.

**Density**: 7.63 g/cm3
**Total DFT energy (no corrections)**: -2.064 eV/atom
**Total magnetic moment**: 0.0000 μB/atom

```
&SYSTEM
  ibrav = 0, nat = 5, ntyp = 3
/
ATOMIC_SPECIES
Na 22.99 Na.upf
Tl 204.38 Tl.upf
Pd 106.42 Pd.upf
ATOMIC_POSITIONS crystal
Na 0.000 0.000 0.000
Tl 0.000 0.000 0.500
Tl 0.000 0.500 0.000
Tl 0.500 0.000 0.000
Pd 0.500 0.500 0.500
CELL_PARAMETERS angstrom
5.448 0.000 0.000
0.000 5.448 0.000
0.000 0.000 5.448
```


Record 5
This record from the Alexandria database describes a geometry-optimized Li2BePSe4 structure. The functional is PBE. Values from VASP.

**Density**: 3.49 g/cm3
**E_form (uncorrected)**: -4.8 eV per formula unit
**Total magnetic moment**: 0.0000 μB/atom

```
&SYSTEM
  ibrav = 0, nat = 8, ntyp = 4
/
ATOMIC_SPECIES
Li 6.94 Li.upf
Be 9.01 Be.upf
P 30.97 P.upf
Se 78.96 Se.upf
ATOMIC_POSITIONS crystal
Li 0.000 0.000 0.000
Li 0.750 0.250 0.500
Be 0.500 0.500 0.000
P 0.250 0.750 0.500
Se 0.168 0.403 0.544
Se 0.377 0.141 0.974
Se 0.597 0.832 0.456
Se 0.859 0.623 0.026
CELL_PARAMETERS angstrom
4.153 -5.091 0.000
4.153 5.091 0.000
-4.151 0.000 4.157
```


Record 6
This record from the Alexandria database describes a geometry-optimized AlIn2Co2 structure. The functional is PBE. Values from VASP.

**Density**: 6.74 g/cm3
**Total DFT energy (no corrections)**: -4.399 eV/atom
**Total magnetic moment**: 0.6397 μB/atom

```
&SYSTEM
  ibrav = 0, nat = 5, ntyp = 3
/
ATOMIC_SPECIES
Al 26.98 Al.upf
In 114.82 In.upf
Co 58.93 Co.upf
ATOMIC_POSITIONS crystal
Al 0.000 0.000 0.000
In 0.382 0.382 0.000
In 0.618 0.618 0.000
Co 0.250 0.750 0.500
Co 0.750 0.250 0.500
CELL_PARAMETERS angstrom
-1.652 1.652 8.458
1.652 -1.652 8.458
1.652 1.652 -8.458
```


Record 7
This record from the Alexandria database describes a geometry-optimized Pa3AgBi6 structure. The functional is PBE. Values from VASP.

**Density**: 10.97 g/cm3
**Total DFT energy (no corrections)**: -5.420 eV/atom
**Total magnetic moment**: 0.2590 μB/atom

```
&SYSTEM
  ibrav = 0, nat = 20, ntyp = 3
/
ATOMIC_SPECIES
Pa 231.04 Pa.upf
Ag 107.87 Ag.upf
Bi 208.98 Bi.upf
ATOMIC_POSITIONS crystal
Pa 0.062 0.158 0.597
Pa 0.158 0.597 0.062
Pa 0.403 0.938 0.842
Pa 0.597 0.062 0.158
Pa 0.842 0.403 0.938
Pa 0.938 0.842 0.403
Ag 0.000 0.000 0.000
Ag 0.500 0.500 0.500
Bi 0.097 0.789 0.732
Bi 0.170 0.508 0.435
Bi 0.211 0.268 0.903
Bi 0.268 0.903 0.211
Bi 0.435 0.170 0.508
Bi 0.492 0.565 0.830
Bi 0.508 0.435 0.170
Bi 0.565 0.830 0.492
Bi 0.732 0.097 0.789
Bi 0.789 0.732 0.097
Bi 0.830 0.492 0.565
Bi 0.903 0.211 0.268
CELL_PARAMETERS angstrom
5.751 3.321 5.427
-5.751 3.321 5.427
0.000 -6.641 5.427
```


Record 8
This record from the Alexandria database describes a geometry-optimized Th3Sn4Pd2 structure. The functional is PBE. Values from VASP.

**Density**: 9.86 g/cm3
**Total DFT energy (no corrections)**: -6.073 eV/atom
**Total magnetic moment**: 0.0000 μB/atom

```
&SYSTEM
  ibrav = 0, nat = 9, ntyp = 3
/
ATOMIC_SPECIES
Th 232.04 Th.upf
Sn 118.71 Sn.upf
Pd 106.42 Pd.upf
ATOMIC_POSITIONS crystal
Th 0.000 0.000 0.000
Th 0.341 0.341 0.334
Th 0.659 0.659 0.666
Sn 0.078 0.078 0.400
Sn 0.279 0.279 0.926
Sn 0.721 0.721 0.074
Sn 0.922 0.922 0.600
Pd 0.423 0.423 0.738
Pd 0.577 0.577 0.262
CELL_PARAMETERS angstrom
5.786 -2.367 0.000
5.786 2.367 0.000
-2.560 0.000 8.513
```


Record 9
This record from the Alexandria database describes a geometry-optimized TaSbPb2 structure. The functional is PBE. Values from VASP.

**Density**: 11.78 g/cm3
**E_form (uncorrected)**: 2.5 eV per formula unit
**Total magnetic moment**: 0.0002 μB/atom

```
&SYSTEM
  ibrav = 0, nat = 4, ntyp = 3
/
ATOMIC_SPECIES
Ta 180.95 Ta.upf
Sb 121.76 Sb.upf
Pb 207.20 Pb.upf
ATOMIC_POSITIONS crystal
Ta 0.000 0.000 0.000
Sb 0.500 0.500 0.000
Pb 0.000 0.500 0.500
Pb 0.500 0.000 0.500
CELL_PARAMETERS angstrom
3.191 -5.475 0.000
3.191 5.475 0.000
-1.408 0.000 2.894
```


Record 10
This record from the Alexandria database describes a geometry-optimized HfCu structure. The functional is PBE. Values from VASP.

**Density**: 8.28 g/cm3
**Total DFT energy (no corrections)**: -5.954 eV/atom
**Total magnetic moment**: 0.0000 μB/atom

```
&SYSTEM
  ibrav = 0, nat = 2, ntyp = 2
/
ATOMIC_SPECIES
Hf 178.49 Hf.upf
Cu 63.55 Cu.upf
ATOMIC_POSITIONS crystal
Hf 0.000 0.000 0.000
Cu 0.250 0.250 0.250
CELL_PARAMETERS angstrom
0.000 2.896 2.896
2.896 0.000 2.896
2.896 2.896 0.000
```


Record 11
This record from the Alexandria database describes a geometry-optimized Sm2Zn16Ir structure. The functional is PBE. Values from VASP.

**Density**: 8.27 g/cm3
**Total DFT energy (no corrections)**: -2.301 eV/atom
**Total magnetic moment**: 0.0000 μB/atom

```
&SYSTEM
  ibrav = 0, nat = 19, ntyp = 3
/
ATOMIC_SPECIES
Sm 150.36 Sm.upf
Zn 65.41 Zn.upf
Ir 192.22 Ir.upf
ATOMIC_POSITIONS crystal
Sm 0.000 0.000 0.000
Sm 0.331 0.331 0.331
Zn 0.020 0.020 0.517
Zn 0.020 0.517 0.020
Zn 0.165 0.675 0.675
Zn 0.316 0.316 0.831
Zn 0.316 0.831 0.316
Zn 0.385 0.672 0.959
Zn 0.385 0.959 0.672
Zn 0.517 0.020 0.020
Zn 0.570 0.570 0.570
Zn 0.672 0.385 0.959
Zn 0.672 0.959 0.385
Zn 0.675 0.165 0.675
Zn 0.675 0.675 0.165
Zn 0.831 0.316 0.316
Zn 0.959 0.385 0.672
Zn 0.959 0.672 0.385
Ir 0.770 0.770 0.770
CELL_PARAMETERS angstrom
4.501 2.599 4.406
-4.501 2.599 4.406
0.000 -5.197 4.406
```